1.
Y3Co2B9 | PBE | relaxed

```
Y3Co2B9
1.0
3.143 0.000 0.000
1.572 7.591 1.252
1.572 2.940 7.110
Y Co B
3 2 9
Direct
0.000 0.000 0.000 Y
0.737 0.263 0.263 Y
0.263 0.737 0.737 Y
0.500 0.336 0.664 Co
0.500 0.664 0.336 Co
0.000 0.500 0.500 B
0.629 0.066 0.676 B
0.371 0.934 0.324 B
0.629 0.676 0.066 B
0.371 0.324 0.934 B
0.879 0.851 0.392 B
0.121 0.149 0.608 B
0.879 0.392 0.851 B
0.121 0.608 0.149 B
```

Values from the calculation:
ΔH_f (0 K) = -3.696 eV per formula unit
DOS(E_F) = 0.55 states/eV/atom
Mass density = 5.062 g cm⁻³
V = 158.1 Å³ per cell
Total magnetic moment = 0.00 μB/f.u.

2.
YCo3B3 | PBE | relaxed

```
YCo3B3
1.0
-2.442 -3.425 5.980
5.777 1.252 3.076
-1.698 6.341 0.608
Y Co B
4 12 12
Direct
0.097 0.531 0.892 Y
0.903 0.031 0.608 Y
0.381 0.479 0.461 Y
0.619 0.979 0.039 Y
0.679 0.324 0.279 Co
0.972 0.868 0.035 Co
0.840 0.658 0.311 Co
0.321 0.824 0.221 Co
0.160 0.158 0.189 Co
0.306 0.848 0.667 Co
0.028 0.368 0.465 Co
0.285 0.197 0.833 Co
0.694 0.348 0.833 Co
0.715 0.697 0.667 Co
0.500 0.071 0.423 Co
0.500 0.571 0.077 Co
0.773 0.622 0.992 B
0.111 0.882 0.356 B
0.091 0.672 0.513 B
0.889 0.382 0.144 B
0.227 0.122 0.508 B
0.215 0.930 0.935 B
0.909 0.172 0.987 B
0.533 0.649 0.815 B
0.399 0.271 0.138 B
0.467 0.149 0.685 B
0.785 0.430 0.565 B
0.601 0.771 0.362 B
```

Values from the calculation:
ΔH_f (0 K) = -1.584 eV per formula unit
DOS(E_F) = 0.63 states/eV/atom
Mass density = 6.441 g cm⁻³
V = 307.4 Å³ per cell
Total magnetic moment = 0.34 μB/f.u.
Excess energy over the best structure of this formula in the dataset = 0.00 eV/f.u.

3.
YCo3B3 | PBE | relaxed

```
YCo3B3
1.0
-5.093 0.677 1.899
-1.165 -5.200 -1.269
1.646 -1.583 4.979
Y B Co
2 6 6
Direct
0.500 0.500 0.500 Y
0.000 0.000 0.000 Y
0.000 0.250 0.500 B
0.000 0.750 0.500 B
0.500 0.000 0.750 B
0.750 0.500 0.000 B
0.500 0.000 0.250 B
0.250 0.500 0.000 B
0.250 0.000 0.500 Co
0.000 0.500 0.250 Co
0.500 0.750 0.000 Co
0.750 0.000 0.500 Co
0.000 0.500 0.750 Co
0.500 0.250 0.000 Co
```

Values from the calculation:
ΔH_f (0 K) = -1.317 eV per formula unit
DOS(E_F) = 0.41 states/eV/atom
Mass density = 6.024 g cm⁻³
V = 164.4 Å³ per cell
Total magnetic moment = 0.00 μB/f.u.
Excess energy over the best structure of this formula in the dataset = 0.27 eV/f.u.

4.
YCo3B2 | PBE | relaxed

```
YCo3B2
1.0
3.306 0.000 0.000
0.000 7.265 -4.195
0.000 0.000 8.389
Y Co B
3 9 6
Direct
0.500 0.000 0.000 Y
0.000 0.667 0.333 Y
0.000 0.333 0.667 Y
0.500 0.500 0.500 Co
0.500 0.000 0.500 Co
0.500 0.500 0.000 Co
0.000 0.714 0.714 Co
0.000 0.000 0.286 Co
0.000 0.286 0.000 Co
0.000 0.286 0.286 Co
0.000 0.000 0.714 Co
0.000 0.714 0.000 Co
0.500 0.813 0.187 B
0.500 0.375 0.187 B
0.500 0.813 0.625 B
0.500 0.187 0.813 B
0.500 0.625 0.813 B
0.500 0.187 0.375 B
```

Values from the calculation:
ΔH_f (0 K) = -1.725 eV per formula unit
DOS(E_F) = 1.06 states/eV/atom
Mass density = 7.104 g cm⁻³
V = 201.5 Å³ per cell
Total magnetic moment = 2.29 μB/f.u.
Excess energy over the best structure of this formula in the dataset = 1.16 eV/f.u.

- Look up the total magnetic moment of the second one.
  0.34 μB/f.u.

- The highest DOS(E_F) belongs to which entry?
  YCo3B2

What did the first record say?
Y3Co2B9 | PBE | relaxed

```
Y3Co2B9
1.0
3.143 0.000 0.000
1.572 7.591 1.252
1.572 2.940 7.110
Y Co B
3 2 9
Direct
0.000 0.000 0.000 Y
0.737 0.263 0.263 Y
0.263 0.737 0.737 Y
0.500 0.336 0.664 Co
0.500 0.664 0.336 Co
0.000 0.500 0.500 B
0.629 0.066 0.676 B
0.371 0.934 0.324 B
0.629 0.676 0.066 B
0.371 0.324 0.934 B
0.879 0.851 0.392 B
0.121 0.149 0.608 B
0.879 0.392 0.851 B
0.121 0.608 0.149 B
```

Values from the calculation:
ΔH_f (0 K) = -3.696 eV per formula unit
DOS(E_F) = 0.55 states/eV/atom
Mass density = 5.062 g cm⁻³
V = 158.1 Å³ per cell
Total magnetic moment = 0.00 μB/f.u.